First-principles (GGA-PBE) data for crystalline YAuS2N at its relaxed geometry, as listed in the Alexandria database.

Cell: 4.9576 4.9576 3.9575 Å, 90.00 90.00 90.00°
Last column: nearest neighbours and their distance in Å.
Positions (direct):
Y: 0.5000 0.5000 0.5000  8 S 3.17, 4 N 3.51
S: 0.0000 0.5000 0.0000  2 Au 2.48
S: 0.5000 0.0000 0.0000  2 Au 2.48
Au: 0.0000 0.0000 0.0000  2 N 1.98
N: 0.0000 0.0000 0.5000  2 Au 1.98

Values from the calculation:
Total DFT energy (no corrections), eV per atom: -5.149
M_tot, Bohr magnetons per cell: 1.3
Energy relative to the elements, uncorrected, eV per formula unit: 0.6
Excess energy over the best structure of this formula in the dataset, kJ per mole of atoms: 0.0
SG: P4/mmm

=====

First-principles (GGA-PBE) data for crystalline Zr12Rh5N2 at its relaxed geometry, as listed in the Alexandria database.

Cell: 6.6554 8.2929 7.9484 Å, 103.99 90.00 113.66°
Last column: nearest neighbours and their distance in Å.
Positions (direct):
Zr: 0.9934 0.9868 0.1753  2 N 2.26
Zr: 0.0907 0.6817 0.9080  1 N 2.34
Zr: 0.5910 0.6817 0.9080  1 N 2.34
Zr: 0.1076 0.7167 0.4408  4 Rh 2.66-2.72
Zr: 0.6090 0.7167 0.4408  4 Rh 2.66-2.72
Zr: 0.5016 0.0031 0.8017  2 N 2.23
Zr: 0.4984 0.9969 0.1983  2 N 2.23
Zr: 0.8924 0.2833 0.5592  4 Rh 2.66-2.72
Zr: 0.3910 0.2833 0.5592  4 Rh 2.66-2.72
Zr: 0.9093 0.3183 0.0920  1 N 2.34
Zr: 0.4090 0.3183 0.0920  1 N 2.34
Zr: 0.0066 0.0132 0.8247  2 N 2.26
Rh: 0.2884 0.5769 0.6336  6 Zr 2.67-2.72
Rh: 0.3092 0.6185 0.1654  7 Zr 2.70-2.82
Rh: 0.0000 0.0000 0.5000  6 Zr 2.56-2.66
Rh: 0.6908 0.3815 0.8346  7 Zr 2.70-2.82
Rh: 0.7116 0.4231 0.3664  6 Zr 2.67-2.72
N: 0.7363 0.0000 0.0000  6 Zr 2.23-2.34
N: 0.2637 0.0000 0.0000  6 Zr 2.23-2.34

Values from the calculation:
Total DFT energy (no corrections), eV per atom: -8.819
M_tot, Bohr magnetons per cell: 0.0
Energy relative to the elements, uncorrected, eV per formula unit: -11.6
SG: C2/m

=====

First-principles (GGA-PBE) data for crystalline CeSm6DyHo2 at its relaxed geometry, as listed in the Alexandria database.

Cell: 8.8526 6.9185 6.6577 Å, 121.30 102.54 90.00°
Last column: nearest neighbours and their distance in Å.
Positions (direct):
Ce: 0.0000 0.5000 0.0000  6 Sm 3.47-3.60, 4 Ho 3.80
Sm: 0.4166 0.6260 0.2521  7 Sm 3.54-3.89, 1 Ce 3.60, 2 Dy 3.89
Sm: 0.2007 0.0650 0.6566  2 Ho 3.22-3.47, 2 Sm 3.27-3.55, 1 Dy 3.30, 1 Ce 3.47
Sm: 0.7993 0.4084 0.3434  2 Ho 3.22-3.47, 2 Sm 3.27-3.55, 1 Dy 3.30, 1 Ce 3.47
Sm: 0.2007 0.5916 0.6566  2 Ho 3.22-3.47, 2 Sm 3.27-3.55, 1 Dy 3.30, 1 Ce 3.47
Sm: 0.7993 0.9350 0.3434  2 Ho 3.22-3.47, 2 Sm 3.27-3.55, 1 Dy 3.30, 1 Ce 3.47
Sm: 0.5834 0.3740 0.7479  7 Sm 3.54-3.89, 1 Ce 3.60, 2 Dy 3.89
Dy: 0.5000 0.0000 0.0000  4 Sm 3.30, 2 Ho 3.35
Ho: 0.1672 0.0897 0.1794  1 Ho 3.14, 4 Sm 3.22-3.47, 1 Dy 3.35
Ho: 0.8328 0.9103 0.8206  1 Ho 3.14, 4 Sm 3.22-3.47, 1 Dy 3.35

Values from the calculation:
Total DFT energy (no corrections), eV per atom: -4.553
M_tot, Bohr magnetons per cell: 1.5
SG: C2/m